Computed, not measured: a relaxed structure of TlCr2Pb2O7 at the GGA+U level of DFT.

CIF file:
```
data_TlCr2Pb2O7
_chemical_formula_sum 'Tl3 Cr6 Pb6 O21'
_cell_length_a 5.8514
_cell_length_b 5.8514
_cell_length_c 24.4854
_cell_angle_alpha 90.00
_cell_angle_beta 90.00
_cell_angle_gamma 120.00
_space_group_name_H-M_alt 'R 3 2'
_space_group_IT_number 155
_space_group_name_Hall 'R 3 2"'
loop_
_atom_site_label
_atom_site_fract_x
_atom_site_fract_y
_atom_site_fract_z
Tl1 0.0000 0.0000 0.0000
Cr1 0.0000 0.0000 0.4257
Pb1 0.0000 0.0000 0.2105
O1 0.0000 0.0000 0.5000
O2 0.0204 0.4150 0.0724
```

Magnetization in μB per formula unit: 3.0
E in eV for the cell shown: -221.31